Pr2PuBi4: optimized geometry, GGA-PBE.

Geometry as POSCAR:
```
Pr2PuBi4
1.0
4.504 0.000 0.000
0.000 4.504 0.000
0.000 0.000 12.204
Pr Pu Bi
2 1 4
Direct
0.000 0.500 0.213
0.500 0.000 0.787
0.000 0.000 0.500
0.000 0.000 0.000
0.000 0.500 0.686
0.500 0.000 0.314
0.500 0.500 0.000
```

E   -6.135 eV per atom
Energy of formation from the pure elements   -0.50 eV per atom
Space-group type   P-4m2